Computed, not measured: an optimized crystal structure of Cs2KIF4 at the PBE-GGA level of DFT.

abc: 8.6824 8.6824 8.2849
angles: 110.99 110.99 107.43
Sites, in units of the cell vectors:
I 0.5000 0.5000 0.5000
I 0.0000 0.0000 0.0000
K 0.0000 0.5000 0.0000
K 0.0000 0.5000 0.5000
F 0.6905 0.2893 0.9444
F 0.7140 0.6034 0.4371
F 0.2860 0.3966 0.5629
F 0.8966 0.7860 0.0629
F 0.2107 0.8095 0.5556
F 0.1034 0.2140 0.9371
F 0.7893 0.1905 0.4444
F 0.3095 0.7107 0.0556
Cs 0.5000 0.0000 0.5000
Cs 0.0000 0.0000 0.5000
Cs 0.5000 0.5000 0.0000
Cs 0.5000 0.0000 0.0000

## Properties
E_form (uncorrected), meV per atom: -2228

Computed, not measured: an optimized crystal structure of CsK2IF at the PBE-GGA level of DFT.

abc: 5.4125 5.4125 7.6844
angles: 90.00 90.00 90.00
Sites, in units of the cell vectors:
F 0.0000 0.0000 0.0000
K 0.0000 0.5000 0.0000
K 0.5000 0.0000 0.0000
I 0.5000 0.5000 0.5000
Cs 0.0000 0.0000 0.5000

## Properties
Energy above the lowest structure with this stoichiometry, eV/atom: 0.0000
E_form (uncorrected), meV per atom: -1525

Computed, not measured: an optimized crystal structure of Cs2KIF6 at the PBE-GGA level of DFT.

abc: 7.1452 7.1452 6.8494
angles: 58.56 58.56 90.00
Sites, in units of the cell vectors:
F 0.7537 0.7537 0.0000
F 0.7783 0.7783 0.4433
F 0.2217 0.2217 0.5567
F 0.2463 0.7537 0.0000
F 0.2463 0.2463 0.0000
F 0.7537 0.2463 0.0000
K 0.5000 0.5000 0.0000
I 0.0000 0.0000 0.0000
Cs 0.2500 0.7500 0.5000
Cs 0.7500 0.2500 0.5000

## Properties
Energy above the lowest structure with this stoichiometry, eV/atom: 0.1533
E_form (uncorrected), meV per atom: -2081

Computed, not measured: an optimized crystal structure of CsKIF6 at the PBE-GGA level of DFT.

abc: 6.8346 6.8930 4.6312
angles: 88.03 88.57 56.68
Sites, in units of the cell vectors:
F 0.4935 0.5192 0.6500
F 0.1029 0.6714 0.3646
F 0.2165 0.1395 0.3576
F 0.0028 0.4585 0.7559
F 0.5014 0.0091 0.7873
F 0.6625 0.1371 0.3606
K 0.6764 0.7184 0.3024
Cs 0.0117 0.0103 0.8629
I 0.3320 0.3365 0.5586

## Properties
E_form (uncorrected), meV per atom: -2049

Q: Which of these has the lowest E_form (uncorrected)?
A: Cs2KIF4

Q: Among the records above, which one has the lowest E_form (uncorrected)?
A: Cs2KIF4